# ZrMo2Au | Alexandria | GGA-PBEsol | relaxed
data_ZrMo2Au
_chemical_formula_sum 'Zr2 Mo4 Au2'
_symmetry_space_group_name_H-M 'C 1 2/m 1'
_symmetry_Int_Tables_number 12
_symmetry_space_group_name_Hall '-C 2y'
_cell_length_a 9.556
_cell_length_b 3.027
_cell_length_c 4.785
_cell_angle_alpha 90.00
_cell_angle_beta 99.15
_cell_angle_gamma 90.00
loop_
_atom_site_label
_atom_site_fract_x
_atom_site_fract_y
_atom_site_fract_z
Zr1 0.000 0.000 0.000
Mo1 0.235 0.000 0.740
Au1 0.000 0.500 0.500
# * magnetic moment: 0.00 μB/f.u.
# * energy relative to the lowest polymorph listed for this composition: 157 meV per atom
# * ΔE_f: 152 meV/atom